Material: AlAgRh2
Method: DFT, GGA-PBE
State: relaxed

a = 3.066 Å, b = 4.399 Å, c = 4.399 Å
α = 90.00°, β = 90.00°, γ = 90.00°
Fractional coordinates of all 4 atoms:
Al (0.500, 0.000, 0.500)
Ag (0.500, 0.500, 0.000)
Rh (0.000, 0.000, 0.000)
Rh (0.000, 0.500, 0.500)



Material: Al2AgRh2
Method: DFT, GGA-PBE
State: relaxed

a = 3.864 Å, b = 3.864 Å, c = 6.245 Å
α = 71.98°, β = 71.98°, γ = 90.00°
Fractional coordinates of all 5 atoms:
Rh (0.615, 0.615, 0.769)
Rh (0.385, 0.385, 0.231)
Al (0.250, 0.750, 0.500)
Al (0.750, 0.250, 0.500)
Ag (0.000, 0.000, 0.000)

Relative energy among the computed polymorphs = 347 meV per atom



Material: AlAg2Rh2
Method: DFT, GGA-PBE
State: relaxed

a = 3.586 Å, b = 3.586 Å, c = 7.304 Å
α = 75.79°, β = 75.79°, γ = 90.00°
Site moments in Bohr magnetons follow the coordinates.
Fractional coordinates of all 5 atoms:
Ag (0.250, 0.750, 0.500)  0.01
Ag (0.750, 0.250, 0.500)  0.01
Rh (0.592, 0.592, 0.816)  0.31
Rh (0.408, 0.408, 0.184)  0.31
Al (0.000, 0.000, 0.000)  -0.01

Relative energy among the computed polymorphs = 353 meV per atom



Material: AlAgRh2
Method: DFT, GGA-PBE
State: relaxed

a = 4.408 Å, b = 4.408 Å, c = 4.408 Å
α = 60.00°, β = 60.00°, γ = 60.00°
Site moments in Bohr magnetons follow the coordinates.
Fractional coordinates of all 4 atoms:
Rh (0.000, 0.000, 0.000)  0.49
Rh (0.750, 0.750, 0.750)  0.57
Al (0.250, 0.250, 0.250)  0.00
Ag (0.500, 0.500, 0.500)  0.01



Q: Which calculated formation energy values were calculated for the entries above? A: -295; -326; 313; -139, in meV/atom.
Q: Which electronic total energy values were calculated for the entries above? A: -22.48; -26.67; -22.58; -21.85, in eV per cell.